1.
The following is a DFT calculation (PBE) of an optimized crystal structure of Tm2ThAu4.

Values from the calculation:
DOS(E_F) = 18.8 states/eV per cell
ΔH_f (0 K) = -714 meV/atom

a b c (Å): 5.0578 8.7525 14.8545
angles (deg): 90.00 90.00 90.00
Space group Cmcm (No. 63)
Asymmetric unit:
Tm 0.0000 0.1666 0.0619 [8 per cell]
Th 0.0000 0.4995 0.2500 [4 per cell]
Au 0.0000 0.1659 0.2500 [4 per cell]
Au 0.0000 0.1671 0.6385 [8 per cell]
Au 0.0000 0.5000 0.0000 [4 per cell]

***

2.
The following is a DFT calculation (PBE) of an optimized crystal structure of TmThAu2.

Values from the calculation:
DOS(E_F) = 3.1 states/eV per cell
ΔH_f (0 K) = -733 meV/atom
Energy above the lowest structure with this stoichiometry = 0 meV per atom

a b c (Å): 3.5249 3.5249 7.6818
angles (deg): 90.00 90.00 90.00
Space group P4/mmm (No. 123)
Asymmetric unit:
Tm 0.0000 0.0000 0.0000 [1 per cell]
Th 0.0000 0.0000 0.5000 [1 per cell]
Au 0.5000 0.5000 0.2226 [2 per cell]

***

> Look up the DOS(E_F) of the first one.

18.8 states/eV per cell